--- i ---
This record from Alexandria via LeMat-Bulk describes Ta4Hg3 after structural relaxation. The functional is PBE.

Values from the calculation:
- M_tot (μB per atom) = 0.00
- theoretical density (kg/m3) = 15913

a b c (Å): 3.4796 3.4796 22.8501
angles (deg): 90.00 90.00 90.00
Last column: nearest neighbours and their distance in Å.
Space group I4/mmm (No. 139)
One atom of each set of equivalent atoms:
1 Ta 0.0000 0.0000 0.0758 [4 per cell]  4 Ta 2.79, 5 Hg 3.01-3.10
2 Ta 0.0000 0.0000 0.3668 [4 per cell]  4 Ta 2.79, 5 Hg 3.04
3 Hg 0.0000 0.0000 0.2114 [4 per cell]  4 Hg 3.03, 5 Ta 3.04-3.10
4 Hg 0.0000 0.0000 0.5000 [2 per cell]  10 Ta 3.01-3.04

=====

--- ii ---
This record from Alexandria via LeMat-Bulk describes Ta4Hg3 after structural relaxation. The functional is PBE.

Values from the calculation:
- M_tot (μB per atom) = 0.00
- theoretical density (kg/m3) = 16275

a b c (Å): 5.4523 5.4523 5.2532
angles (deg): 90.00 90.00 120.00
Last column: nearest neighbours and their distance in Å.
Space group P6/mmm (No. 191)
One atom of each set of equivalent atoms:
1 Ta 0.0000 0.0000 0.2343 [2 per cell]  1 Ta 2.46
2 Ta 0.3333 0.6667 0.0000 [2 per cell]  6 Hg 3.06, 9 Ta 3.15-3.38
3 Hg 0.0000 0.5000 0.5000 [3 per cell]  4 Hg 2.73

=====

What should be chosen as the most stable of them? Choose i.

=====

--- i ---
This record from Alexandria via LeMat-Bulk describes Ta3TcHg after structural relaxation. The functional is PBE.

Values from the calculation:
- M_tot (μB per atom) = 0.00
- theoretical density (kg/m3) = 12507

a b c (Å): 4.8163 4.8163 4.8163
angles (deg): 90.00 90.00 90.00
Last column: nearest neighbours and their distance in Å.
Space group Pm-3m (No. 221)
One atom of each set of equivalent atoms:
1 Ta 0.0000 0.0000 0.5000 [3 per cell]  2 Tc 2.41
2 Tc 0.0000 0.0000 0.0000 [1 per cell]  6 Ta 2.41
3 Hg 0.5000 0.5000 0.5000 [1 per cell]  12 Ta 3.41

=====

--- ii ---
This record from Alexandria via LeMat-Bulk describes Ta3TcHg after structural relaxation. The functional is PBE.

Values from the calculation:
- M_tot (μB per atom) = 0.00
- theoretical density (kg/m3) = 11661

a b c (Å): 4.9299 4.9299 4.9299
angles (deg): 90.00 90.00 90.00
Last column: nearest neighbours and their distance in Å.
Space group Pm-3m (No. 221)
One atom of each set of equivalent atoms:
1 Ta 0.0000 0.0000 0.5000 [3 per cell]  2 Hg 2.46
2 Tc 0.5000 0.5000 0.5000 [1 per cell]  12 Ta 3.49
3 Hg 0.0000 0.0000 0.0000 [1 per cell]  6 Ta 2.46

=====

What should be chosen as the most stable of them? Choose i.

=====

--- i ---
This record from Alexandria via LeMat-Bulk describes TaTc3Hg after structural relaxation. The functional is PBE.

Values from the calculation:
- M_tot (μB per atom) = 0.53
- theoretical density (kg/m3) = 10110

a b c (Å): 4.8053 4.8053 4.8053
angles (deg): 90.00 90.00 90.00
Last column: nearest neighbours and their distance in Å.
Space group Pm-3m (No. 221)
One atom of each set of equivalent atoms:
1 Ta 0.0000 0.0000 0.0000 [1 per cell]  12 Tc 3.40
2 Tc 0.0000 0.5000 0.5000 [3 per cell]  2 Hg 2.40
3 Hg 0.5000 0.5000 0.5000 [1 per cell]  6 Tc 2.40

=====

--- ii ---
This record from Alexandria via LeMat-Bulk describes TaTc3Hg after structural relaxation. The functional is PBE.

Values from the calculation:
- M_tot (μB per atom) = 0.57
- theoretical density (kg/m3) = 10386

a b c (Å): 4.7623 4.7623 4.7623
angles (deg): 90.00 90.00 90.00
Last column: nearest neighbours and their distance in Å.
Space group Pm-3m (No. 221)
One atom of each set of equivalent atoms:
1 Ta 0.0000 0.0000 0.0000 [1 per cell]  6 Tc 2.38
2 Tc 0.0000 0.0000 0.5000 [3 per cell]  2 Ta 2.38
3 Hg 0.5000 0.5000 0.5000 [1 per cell]  12 Tc 3.37

=====

What should be chosen as the most stable of them? Choose ii.

=====

--- i ---
This record from Alexandria via LeMat-Bulk describes TaHgTe after structural relaxation. The functional is PBE.

Values from the calculation:
- M_tot (μB per atom) = 0.00
- theoretical density (kg/m3) = 11697

a b c (Å): 3.4230 3.4230 7.1230
angles (deg): 90.00 90.00 120.00
Last column: nearest neighbours and their distance in Å.
Space group P3m1 (No. 156)
One atom of each set of equivalent atoms:
1 Ta 0.0000 0.0000 0.0000 [1 per cell]  3 Te 2.75, 3 Hg 2.97
2 Hg 0.6667 0.3333 0.6885 [1 per cell]  3 Ta 2.97
3 Te 0.3333 0.6667 0.2688 [1 per cell]  3 Ta 2.75

=====

--- ii ---
This record from Alexandria via LeMat-Bulk describes TaHgTe after structural relaxation. The functional is PBE.

Values from the calculation:
- M_tot (μB per atom) = 0.00
- theoretical density (kg/m3) = 10609

a b c (Å): 5.4414 3.5871 8.4119
angles (deg): 90.00 103.90 90.00
Last column: nearest neighbours and their distance in Å.
Space group P2_1/m (No. 11)
One atom of each set of equivalent atoms:
1 Ta 0.1545 0.2500 0.4374 [2 per cell]  4 Te 2.81-2.96, 2 Ta 2.83, 2 Hg 2.98
2 Hg 0.0601 0.7500 0.1463 [2 per cell]  2 Ta 2.98, 2 Hg 2.99
3 Te 0.3803 0.7500 0.6873 [2 per cell]  4 Ta 2.81-2.96

=====

What should be chosen as the most stable of them? Choose ii.

=====

--- i ---
This record from Alexandria via LeMat-Bulk describes TaHgTe after structural relaxation. The functional is PBE.

Values from the calculation:
- M_tot (μB per atom) = 0.00
- theoretical density (kg/m3) = 11495

a b c (Å): 5.6985 3.4124 7.6082
angles (deg): 90.00 96.13 90.00
Last column: nearest neighbours and their distance in Å.
Space group P2_1/m (No. 11)
One atom of each set of equivalent atoms:
1 Ta 0.2074 0.2500 0.0048 [2 per cell]  3 Te 2.82, 2 Ta 2.91, 1 Hg 3.00
2 Hg 0.0307 0.7500 0.6621 [2 per cell]  2 Hg 2.99, 3 Ta 3.00-3.19, 2 Te 3.34
3 Te 0.4658 0.7500 0.2488 [2 per cell]  3 Ta 2.82

=====

--- ii ---
This record from Alexandria via LeMat-Bulk describes TaHgTe after structural relaxation. The functional is PBE.

Values from the calculation:
- M_tot (μB per atom) = 0.00
- theoretical density (kg/m3) = 11328

a b c (Å): 3.7883 5.1512 15.2988
angles (deg): 90.00 90.00 90.00
Last column: nearest neighbours and their distance in Å.
Space group Fmm2 (No. 42)
One atom of each set of equivalent atoms:
1 Ta 0.0000 0.0000 0.0000 [4 per cell]  2 Te 2.77, 2 Hg 2.89
2 Hg 0.0000 0.0000 0.6428 [4 per cell]  2 Ta 2.89, 4 Hg 3.20
3 Te 0.0000 0.0000 0.3675 [4 per cell]  2 Ta 2.77

=====

What should be chosen as the most stable of them? Choose i.

=====

--- i ---
This record from Alexandria via LeMat-Bulk describes TaHgTe after structural relaxation. The functional is PBE.

Values from the calculation:
- M_tot (μB per atom) = 0.00
- theoretical density (kg/m3) = 10316

a b c (Å): 9.6130 3.4799 9.8125
angles (deg): 90.00 92.93 90.00
Last column: nearest neighbours and their distance in Å.
Space group Cm (No. 8)
One atom of each set of equivalent atoms:
1 Ta 0.0000 0.0000 0.0000 [2 per cell]  2 Ta 2.74, 4 Te 2.89-2.94
2 Ta 0.1667 0.5000 0.1502 [2 per cell]  4 Te 2.74-2.81, 2 Ta 2.74, 1 Hg 3.01
3 Hg 0.1749 0.5000 0.4577 [2 per cell]  1 Ta 3.01, 3 Hg 3.17-3.28
4 Hg 0.4587 0.5000 0.6362 [2 per cell]  5 Hg 3.17-3.48, 1 Te 3.53
5 Te 0.1956 0.5000 0.8737 [2 per cell]  3 Ta 2.74-2.89
6 Te 0.3914 0.0000 0.2115 [2 per cell]  5 Ta 2.74-2.94

=====

--- ii ---
This record from Alexandria via LeMat-Bulk describes TaHgTe after structural relaxation. The functional is PBE.

Values from the calculation:
- M_tot (μB per atom) = 0.00
- theoretical density (kg/m3) = 11302

a b c (Å): 14.4835 3.7374 5.6421
angles (deg): 90.00 101.56 90.00
Last column: nearest neighbours and their distance in Å.
Space group Cm (No. 8)
One atom of each set of equivalent atoms:
1 Ta 0.0000 0.0000 0.0000 [2 per cell]  2 Ta 2.77, 4 Hg 3.00-3.03, 3 Te 3.02-3.05
2 Ta 0.0555 0.5000 0.3641 [2 per cell]  2 Ta 2.77, 4 Te 2.80, 1 Hg 2.84
3 Hg 0.1450 0.5000 0.8607 [2 per cell]  3 Ta 2.84-3.03, 2 Te 3.18
4 Hg 0.3343 0.0000 0.9159 [2 per cell]  2 Ta 3.00, 2 Hg 3.28, 1 Te 3.36
5 Te 0.1951 0.0000 0.3250 [2 per cell]  3 Ta 2.80-3.05
6 Te 0.4231 0.5000 0.4594 [2 per cell]  4 Ta 2.80-3.03

=====

What should be chosen as the most stable of them? Choose i.